(1)
Below is a geometry-optimized LaPm3PrSm structure, with properties calculated at the PBE level.

Results
- E (eV for the cell shown) = -57.15
- SG = No. 11

a b c (Å): 8.206 5.211 10.390
angles (deg): 90.00 108.53 90.00
Sites, in units of the cell vectors:
La1 0.166 0.250 0.292
La2 0.834 0.750 0.708
Pm1 0.167 0.250 0.791
Pm2 0.167 0.750 0.042
Pm3 0.168 0.750 0.542
Pm4 0.832 0.250 0.458
Pm5 0.833 0.250 0.958
Pm6 0.833 0.750 0.209
Pr1 0.498 0.750 0.874
Pr2 0.502 0.250 0.126
Sm1 0.500 0.250 0.625
Sm2 0.500 0.750 0.375

=====

(2)
Below is a geometry-optimized Sc3TlN structure, with properties calculated at the PBE level.

Results
- SG = No. 194
- ΔE_f (raw) (eV per atom) = -0.2986

a b c (Å): 4.853 4.853 9.009
angles (deg): 90.00 90.00 120.00
Sites, in units of the cell vectors:
Sc1 0.000 0.000 0.250
Sc2 0.000 0.000 0.750
Sc3 0.333 0.667 0.073
Sc4 0.333 0.667 0.427
Sc5 0.667 0.333 0.573
Sc6 0.667 0.333 0.927
Tl1 0.333 0.667 0.750
Tl2 0.667 0.333 0.250
N1 0.000 0.000 0.000
N2 0.000 0.000 0.500